Compound: KSrAcSn
Source: Alexandria
Functional: GGA-PBE
Structure: optimized geometry

a b c (Å): 8.4706 8.4706 8.4706
angles (deg): 90.00 90.00 90.00
Space group F-43m (No. 216)
Asymmetric unit:
K  0.0000  0.0000  0.0000 [4 per cell]
Sr  0.2500  0.2500  0.2500 [4 per cell]
Ac  0.2500  0.2500  0.7500 [4 per cell]
Sn  0.0000  0.0000  0.5000 [4 per cell]

Output
ΔE_f in meV/atom: -92.5
Final energy in eV/atom: -2.815